Computed, not measured: Cs4V3InCl12 after structural relaxation at the GGA-PBE level of DFT.

Calculated values
The formation energy without anion corrections is -1.45 eV per atom. As for the total DFT energy (no corrections): -4.232 eV per atom.

```
data_Cs4V3InCl12
_chemical_formula_sum 'Cs8 V6 In2 Cl24'
_space_group_name_H-M_alt 'I m -3 m'
_space_group_IT_number 229
_space_group_name_Hall '-I 4 2 3'
_cell_length_a 10.515
_cell_length_b 10.515
_cell_length_c 10.515
_cell_angle_alpha 90.00
_cell_angle_beta 90.00
_cell_angle_gamma 90.00
loop_
_atom_site_label
_atom_site_type_symbol
_atom_site_fract_x
_atom_site_fract_y
_atom_site_fract_z
Cs1 Cs 0.250 0.250 0.250
V1 V 0.000 0.000 0.500
In1 In 0.000 0.000 0.000
Cl1 Cl 0.000 0.000 0.276
Cl2 Cl 0.000 0.250 0.500
```